Density functional theory data (PBE) for crystalline CaPm7Sm3 at its relaxed geometry.

The structure in POSCAR format:
```
CaPm7Sm3
1.0
-4.089 2.339 -7.447
-0.767 -6.991 -1.775
-5.141 3.343 3.873
Ca Pm Sm
1 7 3
direct
0.445 0.333 0.667
0.110 0.165 0.835
0.110 0.165 0.329
0.124 0.667 0.333
0.450 0.832 0.168
0.450 0.337 0.168
0.450 0.832 0.663
0.110 0.671 0.835
0.788 0.503 0.497
0.788 0.503 0.005
0.788 0.995 0.497
```

Calculated values
Space group: P3m1
Total magnetic moment: 0.00 Bohr magnetons per cell
ρ: 6.23 g/cm3
DFT total energy: -4.287 eV per atom
Calculated formation energy: 205.4 meV/atom

---

Density functional theory data (PBE) for crystalline CaPm9Sm2 at its relaxed geometry.

The structure in POSCAR format:
```
CaPm9Sm2
1.0
5.180 0.000 0.000
0.000 5.180 0.000
0.000 0.000 15.518
Ca Pm Sm
1 9 2
direct
0.000 0.000 0.000
0.500 0.500 0.000
0.500 0.500 0.334
0.500 0.500 0.666
0.500 0.000 0.172
0.500 0.000 0.500
0.500 0.000 0.828
0.000 0.500 0.172
0.000 0.500 0.500
0.000 0.500 0.828
0.000 0.000 0.333
0.000 0.000 0.667
```

Calculated values
Space group: P4/mmm
Total magnetic moment: 0.00 Bohr magnetons per cell
ρ: 6.56 g/cm3
DFT total energy: -4.480 eV per atom
Calculated formation energy: 36.0 meV/atom